Entry from OQMD via LeMat-Bulk: crystalline LiTmPO at its relaxed geometry (PBE).

a = 3.784 Å, b = 6.214 Å, c = 5.481 Å
α = 90.00°, β = 90.00°, γ = 90.00°
Fractional positions:
1 Li 0.000 0.165 0.000
2 Li 0.000 0.835 0.500
3 Tm 0.500 0.245 0.554
4 Tm 0.500 0.755 0.054
5 P 0.000 0.485 0.280
6 P 0.000 0.515 0.780
7 O 0.500 0.059 0.880
8 O 0.500 0.941 0.380

Output
DFT total energy (eV/atom): -5.941
Calculated density (g/cm³): 5.7
Energy above the lowest structure with this stoichiometry (meV per atom): 67.5
Space-group type: Pmc2_1